Arrangement i

# Cs2KAu2

A relaxed structure of Cs2KAu2 (PBE-GGA, the Alexandria database).

```
data_Cs2KAu2
_cell_length_a 5.0734
_cell_length_b 7.7619
_cell_length_c 11.1652
_cell_angle_alpha 90.00
_cell_angle_beta 90.00
_cell_angle_gamma 90.00
_space_group_name_H-M_alt 'I m m m'
_space_group_IT_number 71
_space_group_name_Hall '-I 2 2'
loop_
_atom_site_label
_atom_site_fract_x
_atom_site_fract_y
_atom_site_fract_z
Cs1 0.0000 0.0000 0.1995
K1 0.0000 0.5000 0.0000
Au1 0.0000 0.3093 0.5000
```


Arrangement ii

# Cs2KAu2

A relaxed structure of Cs2KAu2 (PBE-GGA, the Alexandria database).

```
data_Cs2KAu2
_cell_length_a 9.7420
_cell_length_b 9.7420
_cell_length_c 4.8070
_cell_angle_alpha 90.00
_cell_angle_beta 90.00
_cell_angle_gamma 90.00
_space_group_name_H-M_alt 'P 4/m b m'
_space_group_IT_number 127
_space_group_name_Hall '-P 4 2ab'
loop_
_atom_site_label
_atom_site_fract_x
_atom_site_fract_y
_atom_site_fract_z
Cs1 0.1428 0.3572 0.0000
K1 0.0000 0.0000 0.5000
Au1 0.1590 0.6590 0.5000
```


Most stable structure: arrangement i


Arrangement i

# Cs2KAu2

A relaxed structure of Cs2KAu2 (PBE-GGA, the Alexandria database).

```
data_Cs2KAu2
_cell_length_a 5.5984
_cell_length_b 5.5984
_cell_length_c 14.8340
_cell_angle_alpha 90.00
_cell_angle_beta 90.00
_cell_angle_gamma 90.00
_space_group_name_H-M_alt 'I 4/m m m'
_space_group_IT_number 139
_space_group_name_Hall '-I 4 2'
loop_
_atom_site_label
_atom_site_fract_x
_atom_site_fract_y
_atom_site_fract_z
Cs1 0.0000 0.5000 0.2500
K1 0.0000 0.0000 0.0000
Au1 0.0000 0.0000 0.4049
```


Arrangement ii

# Cs2KAu2

A relaxed structure of Cs2KAu2 (PBE-GGA, the Alexandria database).

```
data_Cs2KAu2
_cell_length_a 10.2594
_cell_length_b 10.2594
_cell_length_c 4.2001
_cell_angle_alpha 90.00
_cell_angle_beta 90.00
_cell_angle_gamma 90.00
_space_group_name_H-M_alt 'P 4/m b m'
_space_group_IT_number 127
_space_group_name_Hall '-P 4 2ab'
loop_
_atom_site_label
_atom_site_fract_x
_atom_site_fract_y
_atom_site_fract_z
Cs1 0.1335 0.3665 0.0000
K1 0.0000 0.0000 0.0000
Au1 0.1663 0.6663 0.5000
```


Most stable structure: arrangement ii